# Nd2Sm4Dy3 PBE optimized geometry
data_Nd2Sm4Dy3
_cell_length_a 3.6280
_cell_length_b 3.6280
_cell_length_c 26.7837
_cell_angle_alpha 90.00
_cell_angle_beta 90.00
_cell_angle_gamma 120.00
_symmetry_space_group_name_H-M 'P 3 m 1'
_symmetry_Int_Tables_number 156
loop_
_symmetry_equiv_pos_as_xyz
'x,y,z'
'-y,x-y,z'
'-x+y,-x,z'
'-y,-x,z'
'-x+y,y,z'
'x,x-y,z'
loop_
_atom_site_label
_atom_site_type_symbol
_atom_site_fract_x
_atom_site_fract_y
_atom_site_fract_z
Nd1 Nd 0.0000 0.0000 0.0000
Nd2 Nd 0.0000 0.0000 0.2163
Sm1 Sm 0.0000 0.0000 0.3490
Sm2 Sm 0.0000 0.0000 0.5626
Sm3 Sm 0.3333 0.6667 0.6727
Sm4 Sm 0.3333 0.6667 0.8881
Dy1 Dy 0.0000 0.0000 0.7805
Dy2 Dy 0.3333 0.6667 0.1103
Dy3 Dy 0.3333 0.6667 0.4538
# ΔE to the lowest computed polymorph: 0.000 eV/atom
# Magnetic moment: 0.000 μB per atom
# N(E_F): 16.87 states/eV per cell

=====

# NdSm4Dy10 PBE optimized geometry
data_NdSm4Dy10
_cell_length_a 9.8202
_cell_length_b 9.8202
_cell_length_c 10.8871
_cell_angle_alpha 90.00
_cell_angle_beta 90.00
_cell_angle_gamma 90.00
_symmetry_space_group_name_H-M 'I 4/m'
_symmetry_Int_Tables_number 87
_symmetry_space_group_name_Hall '-I 4'
loop_
_atom_site_label
_atom_site_type_symbol
_atom_site_fract_x
_atom_site_fract_y
_atom_site_fract_z
Nd1 Nd 0.0000 0.0000 0.0000
Sm1 Sm 0.0537 0.2875 0.5000
Dy1 Dy 0.0000 0.5000 0.2500
Dy2 Dy 0.1231 0.2189 0.1686
# Electronic total energy: -125.85 eV/cell
# Magnetic moment: 0.000 μB per atom
# N(E_F): 53.94 states/eV per cell

=====

# NdSm12Dy3 PBE optimized geometry
data_NdSm12Dy3
_cell_length_a 5.1113
_cell_length_b 5.1113
_cell_length_c 20.4298
_cell_angle_alpha 90.00
_cell_angle_beta 90.00
_cell_angle_gamma 90.00
_symmetry_space_group_name_H-M 'P 4/m m m'
_symmetry_Int_Tables_number 123
_symmetry_space_group_name_Hall '-P 4 2'
loop_
_atom_site_label
_atom_site_type_symbol
_atom_site_fract_x
_atom_site_fract_y
_atom_site_fract_z
Nd1 Nd 0.0000 0.0000 0.0000
Sm1 Sm 0.0000 0.5000 0.1267
Sm2 Sm 0.0000 0.5000 0.3755
Sm3 Sm 0.5000 0.5000 0.0000
Sm4 Sm 0.5000 0.5000 0.2515
Sm5 Sm 0.5000 0.5000 0.5000
Dy1 Dy 0.0000 0.0000 0.2511
Dy2 Dy 0.0000 0.0000 0.5000
# Electronic total energy: -74.95 eV/cell
# Magnetic moment: 0.000 μB per atom
# N(E_F): 23.16 states/eV per cell

=====

# Nd3Sm3Dy8 PBE optimized geometry
data_Nd3Sm3Dy8
_cell_length_a 5.6846
_cell_length_b 10.7886
_cell_length_c 15.2109
_cell_angle_alpha 90.00
_cell_angle_beta 90.00
_cell_angle_gamma 90.00
_symmetry_space_group_name_H-M 'I m m m'
_symmetry_Int_Tables_number 71
_symmetry_space_group_name_Hall '-I 2 2'
loop_
_atom_site_label
_atom_site_type_symbol
_atom_site_fract_x
_atom_site_fract_y
_atom_site_fract_z
Nd1 Nd 0.0000 0.0000 0.0000
Nd2 Nd 0.0000 0.3032 0.0000
Sm1 Sm 0.0000 0.0000 0.5000
Sm2 Sm 0.0000 0.5000 0.1865
Dy1 Dy 0.0000 0.1608 0.2207
Dy2 Dy 0.0000 0.3398 0.3970
# Electronic total energy: -127.38 eV/cell
# Magnetic moment: 0.000 μB per atom
# N(E_F): 42.86 states/eV per cell

=====

# Nd5Sm5Dy PBE optimized geometry
data_Nd5Sm5Dy
_cell_length_a 18.6547
_cell_length_b 6.1353
_cell_length_c 7.0352
_cell_angle_alpha 90.00
_cell_angle_beta 107.85
_cell_angle_gamma 90.00
_symmetry_space_group_name_H-M 'C 1 2/m 1'
_symmetry_Int_Tables_number 12
loop_
_symmetry_equiv_pos_as_xyz
'x,y,z'
'-x,-y,-z'
'-x,y,-z'
'x,-y,z'
'x+1/2,y+1/2,z'
'-x+1/2,-y+1/2,-z'
'-x+1/2,y+1/2,-z'
'x+1/2,-y+1/2,z'
loop_
_atom_site_label
_atom_site_type_symbol
_atom_site_fract_x
_atom_site_fract_y
_atom_site_fract_z
Nd1 Nd 0.0000 0.0000 0.0000
Nd2 Nd 0.1264 0.5000 0.1531
Nd3 Nd 0.1702 0.5000 0.6945
Sm1 Sm 0.0000 0.5000 0.5000
Sm2 Sm 0.1727 0.0000 0.4202
Sm3 Sm 0.1768 0.0000 0.9135
Dy1 Dy 0.0000 0.0000 0.5000
# ΔE to the lowest computed polymorph: 0.106 eV/atom
# Magnetic moment: 0.000 μB per atom
# N(E_F): 34.47 states/eV per cell

=====

# Nd6SmDy12 PBE optimized geometry
data_Nd6SmDy12
_cell_length_a 13.3099
_cell_length_b 13.3099
_cell_length_c 12.6596
_cell_angle_alpha 90.00
_cell_angle_beta 90.00
_cell_angle_gamma 120.00
_symmetry_space_group_name_H-M 'R -3 m'
_symmetry_Int_Tables_number 166
_symmetry_space_group_name_Hall '-R 3 2"'
loop_
_atom_site_label
_atom_site_type_symbol
_atom_site_fract_x
_atom_site_fract_y
_atom_site_fract_z
Nd1 Nd 0.0387 0.5194 0.1171
Sm1 Sm 0.0000 0.0000 0.5000
Dy1 Dy 0.0000 0.2570 0.0000
Dy2 Dy 0.0914 0.1828 0.7644
# ΔE to the lowest computed polymorph: 0.094 eV/atom
# Magnetic moment: 0.000 μB per atom
# N(E_F): 94.27 states/eV per cell

=====

# Nd2Sm3Dy5 PBE optimized geometry
data_Nd2Sm3Dy5
_cell_length_a 9.4436
_cell_length_b 21.8581
_cell_length_c 6.8629
_cell_angle_alpha 90.00
_cell_angle_beta 90.00
_cell_angle_gamma 90.00
_symmetry_space_group_name_H-M 'I b a m'
_symmetry_Int_Tables_number 72
_symmetry_space_group_name_Hall '-I 2 2c'
loop_
_atom_site_label
_atom_site_type_symbol
_atom_site_fract_x
_atom_site_fract_y
_atom_site_fract_z
Nd1 Nd 0.1017 0.1258 0.0000
Sm1 Sm 0.0000 0.0000 0.2500
Sm2 Sm 0.2483 0.3706 0.0000
Dy1 Dy 0.0000 0.2512 0.2500
Dy2 Dy 0.0000 0.5000 0.2500
Dy3 Dy 0.0884 0.3751 0.5000
# ΔE to the lowest computed polymorph: 0.203 eV/atom
# Magnetic moment: 0.000 μB per atom
# N(E_F): 62.04 states/eV per cell

=====

# Nd5Sm3Dy3 PBE optimized geometry
data_Nd5Sm3Dy3
_cell_length_a 9.8101
_cell_length_b 9.8101
_cell_length_c 5.5064
_cell_angle_alpha 90.00
_cell_angle_beta 90.00
_cell_angle_gamma 120.00
_symmetry_space_group_name_H-M 'P -6 2 m'
_symmetry_Int_Tables_number 189
_symmetry_space_group_name_Hall 'P -6 -2'
loop_
_atom_site_label
_atom_site_type_symbol
_atom_site_fract_x
_atom_site_fract_y
_atom_site_fract_z
Nd1 Nd 0.0000 0.2664 0.0000
Nd2 Nd 0.3333 0.6667 0.0000
Sm1 Sm 0.0000 0.4289 0.5000
Dy1 Dy 0.0000 0.6332 0.0000
# ΔE to the lowest computed polymorph: 0.440 eV/atom
# Magnetic moment: 0.008 μB per atom
# N(E_F): 20.16 states/eV per cell

=====

# Nd6Sm3Dy PBE optimized geometry
data_Nd6Sm3Dy
_cell_length_a 10.0447
_cell_length_b 10.0447
_cell_length_c 11.9966
_cell_angle_alpha 90.00
_cell_angle_beta 90.00
_cell_angle_gamma 120.00
_symmetry_space_group_name_H-M 'R -3'
_symmetry_Int_Tables_number 148
_symmetry_space_group_name_Hall '-R 3'
loop_
_atom_site_label
_atom_site_type_symbol
_atom_site_fract_x
_atom_site_fract_y
_atom_site_fract_z
Nd1 Nd 0.0013 0.3277 0.2505
Sm1 Sm 0.0000 0.0000 0.0000
Sm2 Sm 0.0000 0.0000 0.2498
Dy1 Dy 0.0000 0.0000 0.5000
# ΔE to the lowest computed polymorph: 0.093 eV/atom
# Magnetic moment: 0.000 μB per atom
# N(E_F): 59.13 states/eV per cell

=====

# Nd3Sm7Dy PBE optimized geometry
data_Nd3Sm7Dy
_cell_length_a 11.7823
_cell_length_b 10.2160
_cell_length_c 6.4844
_cell_angle_alpha 90.00
_cell_angle_beta 94.83
_cell_angle_gamma 90.00
_symmetry_space_group_name_H-M 'C 1 2/m 1'
_symmetry_Int_Tables_number 12
loop_
_symmetry_equiv_pos_as_xyz
'x,y,z'
'-x,-y,-z'
'-x,y,-z'
'x,-y,z'
'x+1/2,y+1/2,z'
'-x+1/2,-y+1/2,-z'
'-x+1/2,y+1/2,-z'
'x+1/2,-y+1/2,z'
loop_
_atom_site_label
_atom_site_type_symbol
_atom_site_fract_x
_atom_site_fract_y
_atom_site_fract_z
Nd1 Nd 0.0000 0.0000 0.0000
Nd2 Nd 0.0000 0.1728 0.5000
Sm1 Sm 0.0000 0.5000 0.5000
Sm2 Sm 0.2399 0.0000 0.7134
Sm3 Sm 0.2432 0.3286 0.7614
Dy1 Dy 0.0000 0.5000 0.0000
# ΔE to the lowest computed polymorph: 0.000 eV/atom
# Magnetic moment: 0.000 μB per atom
# N(E_F): 30.95 states/eV per cell

=====

# Nd3Sm7Dy PBE optimized geometry
data_Nd3Sm7Dy
_cell_length_a 5.9503
_cell_length_b 11.3539
_cell_length_c 11.3700
_cell_angle_alpha 90.00
_cell_angle_beta 90.00
_cell_angle_gamma 90.00
_symmetry_space_group_name_H-M 'I m m m'
_symmetry_Int_Tables_number 71
_symmetry_space_group_name_Hall '-I 2 2'
loop_
_atom_site_label
_atom_site_type_symbol
_atom_site_fract_x
_atom_site_fract_y
_atom_site_fract_z
Nd1 Nd 0.0000 0.0000 0.0000
Nd2 Nd 0.0000 0.2896 0.5000
Sm1 Sm 0.0000 0.0000 0.5000
Sm2 Sm 0.0000 0.2034 0.1994
Sm3 Sm 0.0000 0.5000 0.2919
Dy1 Dy 0.0000 0.5000 0.0000
# ΔE to the lowest computed polymorph: 0.012 eV/atom
# Magnetic moment: 0.010 μB per atom
# N(E_F): 33.13 states/eV per cell

=====

# Nd6Sm5Dy PBE optimized geometry
data_Nd6Sm5Dy
_cell_length_a 6.3269
_cell_length_b 10.9566
_cell_length_c 12.0702
_cell_angle_alpha 90.00
_cell_angle_beta 100.09
_cell_angle_gamma 90.00
_symmetry_space_group_name_H-M 'C 1 2/m 1'
_symmetry_Int_Tables_number 12
loop_
_symmetry_equiv_pos_as_xyz
'x,y,z'
'-x,-y,-z'
'-x,y,-z'
'x,-y,z'
'x+1/2,y+1/2,z'
'-x+1/2,-y+1/2,-z'
'-x+1/2,y+1/2,-z'
'x+1/2,-y+1/2,z'
loop_
_atom_site_label
_atom_site_type_symbol
_atom_site_fract_x
_atom_site_fract_y
_atom_site_fract_z
Nd1 Nd 0.2490 0.1664 0.2491
Nd2 Nd 0.2500 0.0000 0.7507
Sm1 Sm 0.0000 0.1665 0.5000
Sm2 Sm 0.0000 0.3332 0.0000
Sm3 Sm 0.0000 0.5000 0.5000
Dy1 Dy 0.0000 0.0000 0.0000
# Electronic total energy: -113.32 eV/cell
# Magnetic moment: 0.000 μB per atom
# N(E_F): 33.64 states/eV per cell